Record 1
CuMoP2: optimized geometry, GGA-PBE.

For the volume, the calculation gives 14.49 A^3/atom. Its formation energy is 0.258 eV per atom. As for the mass density: 6.34 g/cm³.

It has space group Cmmm (No. 65), with a = 3.257 Å, b = 4.754 Å, c = 7.489 Å, α = 90.00°, β = 90.00° and γ = 90.00°. The inequivalent atoms are Cu at (0.000, 0.000, 0.000), Mo at (0.000, 0.000, 0.500) and P at (0.000, 0.500, 0.253).



Record 2
CuMo2P: optimized geometry, GGA-PBE.

For the volume, the calculation gives 13.90 A^3/atom. Its formation energy is -0.020 eV per atom. As for the mass density: 8.55 g/cm³.

It has space group P4/mmm (No. 123), with a = 2.960 Å, b = 2.960 Å, c = 6.349 Å, α = 90.00°, β = 90.00° and γ = 90.00°. The inequivalent atoms are Cu at (0.000, 0.000, 0.000), Mo at (0.500, 0.500, 0.276) and P at (0.000, 0.000, 0.500).



Record 3
CuMo2P: optimized geometry, GGA-PBE.

For the volume, the calculation gives 14.07 A^3/atom. Its formation energy is 0.167 eV per atom. As for the mass density: 8.45 g/cm³.

It has space group C2/m (No. 12), with a = 5.447 Å, b = 7.790 Å, c = 2.758 Å, α = 90.00°, β = 105.98° and γ = 90.00°. The inequivalent atoms are Cu at (0.000, 0.000, 0.000), Mo at (0.250, 0.250, 0.500) and P at (0.000, 0.500, 0.000).



Record 4
CuMoP4: optimized geometry, GGA-PBE.

For the volume, the calculation gives 14.04 A^3/atom. Its formation energy is 0.701 eV per atom. As for the mass density: 5.59 g/cm³.

It has space group F-43m (No. 216), with a = 6.959 Å, b = 6.959 Å, c = 6.959 Å, α = 90.00°, β = 90.00° and γ = 90.00°. The inequivalent atoms are Cu at (0.000, 0.000, 0.000), Mo at (0.250, 0.250, 0.750) and P at (0.124, 0.124, 0.376).